# HoMgZnPb | Alexandria via LeMat-Bulk | PBE | optimized geometry
# ΔE_f: -0.288 eV/atom
# total magnetic moment: 0.00 μB per formula unit
# electronic total energy: -0.2262 Ry/atom
data_HoMgZnPb
_symmetry_space_group_name_H-M 'P m m m'
_symmetry_Int_Tables_number 47
_cell_length_a 4.309
_cell_length_b 4.609
_cell_length_c 4.672
_cell_angle_alpha 90.00
_cell_angle_beta 90.00
_cell_angle_gamma 90.00
loop_
_symmetry_equiv_pos_as_xyz
'x,y,z'
'-x,-y,-z'
'-x,-y,z'
'x,y,-z'
'x,-y,-z'
'-x,y,z'
'-x,y,-z'
'x,-y,z'
loop_
_atom_site_label
_atom_site_type_symbol
_atom_site_fract_x
_atom_site_fract_y
_atom_site_fract_z
_atom_site_occupancy
Ho1 Ho 0.000 0.000 0.000 1
Mg1 Mg 0.000 0.500 0.500 1
Zn1 Zn 0.500 0.000 0.500 1
Pb1 Pb 0.500 0.500 0.000 1

---

# Er3Cu2Si4 | Alexandria via LeMat-Bulk | PBE | optimized geometry
# total magnetic moment: 0.00 μB per formula unit
# electronic total energy: -0.4083 Ry/atom
# raw formation energy: -0.713 eV per atom
data_Er3Cu2Si4
_symmetry_space_group_name_H-M 'C 1 2/m 1'
_symmetry_Int_Tables_number 12
_cell_length_a 10.493
_cell_length_b 4.032
_cell_length_c 7.961
_cell_angle_alpha 90.00
_cell_angle_beta 101.78
_cell_angle_gamma 90.00
loop_
_symmetry_equiv_pos_as_xyz
'x,y,z'
'-x,-y,-z'
'-x,y,-z'
'x,-y,z'
'x+1/2,y+1/2,z'
'-x+1/2,-y+1/2,-z'
'-x+1/2,y+1/2,-z'
'x+1/2,-y+1/2,z'
loop_
_atom_site_label
_atom_site_type_symbol
_atom_site_fract_x
_atom_site_fract_y
_atom_site_fract_z
_atom_site_occupancy
Er1 Er 0.000 0.000 0.000 1
Er2 Er 0.162 0.500 0.668 1
Cu1 Cu 0.112 0.500 0.283 1
Si1 Si 0.060 0.000 0.388 1
Si2 Si 0.218 0.500 0.059 1

---

# Ba2HgSbP | Alexandria via LeMat-Bulk | PBE | optimized geometry
# total magnetic moment: 0.00 μB per formula unit
# electronic total energy: -0.2619 Ry/atom
# raw formation energy: -0.828 eV per atom
data_Ba2HgSbP
_symmetry_space_group_name_H-M 'P 1 21/m 1'
_symmetry_Int_Tables_number 11
_cell_length_a 8.109
_cell_length_b 4.741
_cell_length_c 9.993
_cell_angle_alpha 90.00
_cell_angle_beta 106.91
_cell_angle_gamma 90.00
loop_
_symmetry_equiv_pos_as_xyz
'x,y,z'
'-x,-y,-z'
'-x,y+1/2,-z'
'x,-y+1/2,z'
loop_
_atom_site_label
_atom_site_type_symbol
_atom_site_fract_x
_atom_site_fract_y
_atom_site_fract_z
_atom_site_occupancy
Ba1 Ba 0.187 0.250 0.393 1
Ba2 Ba 0.225 0.250 0.970 1
Hg1 Hg 0.488 0.750 0.263 1
Sb1 Sb 0.301 0.750 0.696 1
P1 P 0.165 0.750 0.174 1